Here is CuTc8 after structural relaxation from Alexandria via LeMat-Bulk. Energies are from PBE.

Calculated values
- Crystal system: tetragonal
- Space group: I4/mmm (139)
- Total DFT energy (no corrections): -86.04 eV for the cell shown

```
CuTc8
1.0
-4.078 4.078 1.942
4.078 -4.078 1.942
4.078 4.078 -1.942
Cu Tc
1 8
Cartesian
0.000 0.000 0.000 Cu
-1.353 1.353 1.942 Tc
1.353 -1.353 1.942 Tc
0.000 2.723 0.000 Tc
1.353 1.353 1.942 Tc
2.723 0.000 0.000 Tc
2.725 2.725 0.000 Tc
0.000 5.433 0.000 Tc
5.433 0.000 0.000 Tc
```

Here is CuTc7 after structural relaxation from Alexandria via LeMat-Bulk. Energies are from PBE.

Calculated values
- Crystal system: cubic
- Space group: Fm-3m (225)
- Total DFT energy (no corrections): -75.28 eV for the cell shown

```
CuTc7
1.0
0.000 3.858 3.858
3.858 0.000 3.858
3.858 3.858 0.000
Cu Tc
1 7
Cartesian
0.000 0.000 0.000 Cu
1.929 1.929 0.000 Tc
1.929 3.858 1.929 Tc
3.858 1.929 1.929 Tc
1.929 1.929 3.858 Tc
1.929 0.000 1.929 Tc
0.000 1.929 1.929 Tc
3.858 3.858 3.858 Tc
```

Here is Cu5Tc after structural relaxation from Alexandria via LeMat-Bulk. Energies are from PBE.

Calculated values
- Crystal system: orthorhombic
- ΔE to the lowest computed polymorph: 0.005 eV/atom
- Space group: Amm2 (38)

```
Cu5Tc
1.0
-6.228 -1.695 2.720
5.856 -0.569 -3.801
1.967 -1.906 3.317
Cu Tc
5 1
Cartesian
5.836 -0.571 -3.790 Cu
-2.185 -1.318 0.538 Cu
1.862 -0.942 -1.645 Cu
0.081 -2.152 1.505 Cu
4.178 -1.770 -0.706 Cu
-3.909 -2.524 3.658 Tc
```